1.
DFT (PBE-GGA) results for NaMg5Hg8 after structural relaxation.

Lattice parameters (Å, degrees): 7.536 7.536 7.536 109.79 108.83 109.79
Element x y z (fractional)
1 Hg 0.497 0.596 0.238
2 Mg 0.035 0.364 0.130
3 Hg 0.129 0.747 0.060
4 Mg 0.766 0.636 0.671
5 Hg 0.618 0.931 0.871
6 Na 0.250 0.500 0.750
7 Hg 0.313 0.253 0.382
8 Mg 0.329 0.095 0.965
9 Hg 0.940 0.069 0.687
10 Mg 0.500 0.000 0.500
11 Hg 0.762 0.260 0.359
12 Mg 0.870 0.905 0.234
13 Hg 0.099 0.740 0.503
14 Hg 0.641 0.404 0.901

## Properties
Magnetization (μB/f.u.): 0.00
Calculated volume (Å³/cell): 329
Total energy (eV/cell): -13.87

=====

2.
DFT (PBE-GGA) results for Ir2PtAu after structural relaxation.

Lattice parameters (Å, degrees): 4.810 2.779 4.752 90.22 90.00 90.00
Element x y z (fractional)
1 Au 0.500 0.750 0.750
2 Ir 0.000 0.005 0.006
3 Ir 0.000 0.495 0.494
4 Pt 0.500 0.250 0.250

## Properties
Relative energy among the computed polymorphs (eV/atom): 0.238
Magnetization (μB/f.u.): 0.00
Calculated volume (Å³/cell): 64

=====

3.
DFT (PBE-GGA) results for RbReBiC2 after structural relaxation.

Lattice parameters (Å, degrees): 4.236 4.236 5.858 90.00 90.00 90.00
Element x y z (fractional)
1 Re 0.000 0.000 0.000
2 Rb 0.000 0.000 0.500
3 C 0.000 0.500 0.000
4 C 0.500 0.000 0.000
5 Bi 0.500 0.500 0.500

## Properties
Magnetization (μB/f.u.): 0.00
Calculated volume (Å³/cell): 105
Total energy (eV/cell): -25.36